VASP calculation (PBE) on a relaxed structure of Ag2I.

a b c (Å): 6.5487 6.5487 4.6086
angles (deg): 90.00 90.00 90.00
Last column: nearest neighbours and their distance in Å.
Fractional positions:
Ag 0.3054 0.3054 0.0000  3 I 2.83-2.93
Ag 0.6946 0.6946 0.0000  3 I 2.83-2.93
Ag 0.8054 0.1946 0.5000  3 I 2.83-2.93
Ag 0.1946 0.8054 0.5000  3 I 2.83-2.93
I 0.0000 0.0000 0.0000  6 Ag 2.83-2.93
I 0.5000 0.5000 0.5000  6 Ag 2.83-2.93

Computed properties:
Uncorrected energy, eV/atom: -1.95

VASP calculation (PBE) on a relaxed structure of TbDyGa6.

a b c (Å): 6.2681 6.2681 4.5642
angles (deg): 90.00 90.00 120.00
Last column: nearest neighbours and their distance in Å.
Fractional positions:
Dy 0.0000 0.0000 0.5000  12 Ga 3.04-3.14
Ga 0.1850 0.3700 0.0000  6 Ga 2.79, 2 Dy 3.04
Ga 0.1850 0.8150 0.0000  6 Ga 2.79, 2 Dy 3.04
Ga 0.6300 0.8150 0.0000  6 Ga 2.79, 2 Dy 3.04
Ga 0.0369 0.5185 0.5000  6 Ga 2.79, 2 Tb 3.04
Ga 0.4815 0.5185 0.5000  6 Ga 2.79, 2 Tb 3.04
Ga 0.4815 0.9631 0.5000  6 Ga 2.79, 2 Tb 3.04
Tb 0.6667 0.3333 0.0000  12 Ga 3.04-3.14

Computed properties:
Uncorrected energy, eV/atom: -3.97

VASP calculation (PBE) on a relaxed structure of Y2TaAs.

a b c (Å): 4.9953 4.9953 4.9953
angles (deg): 60.00 60.00 60.00
Last column: nearest neighbours and their distance in Å.
Fractional positions:
As 0.5000 0.5000 0.5000  4 Ta 3.06, 4 Y 3.06
Ta 0.2500 0.2500 0.2500  4 As 3.06, 4 Y 3.06
Y 0.0000 0.0000 0.0000  4 Y 3.06, 4 Ta 3.06
Y 0.7500 0.7500 0.7500  4 Y 3.06, 4 As 3.06

Computed properties:
Uncorrected energy, eV/atom: -7.15

VASP calculation (PBE) on a relaxed structure of YAlAg.

a b c (Å): 4.8131 4.8131 4.8131
angles (deg): 60.00 60.00 60.00
Last column: nearest neighbours and their distance in Å.
Fractional positions:
Ag 0.2500 0.2500 0.2500  4 Y 2.95
Al 0.7500 0.7500 0.7500  4 Y 2.95
Y 0.0000 0.0000 0.0000  4 Al 2.95, 4 Ag 2.95

Computed properties:
Uncorrected energy, eV/atom: -4.06

VASP calculation (PBE) on a relaxed structure of HoCdNO.

a b c (Å): 3.8715 5.5028 6.1876
angles (deg): 90.00 90.00 90.00
Last column: nearest neighbours and their distance in Å.
Fractional positions:
Cd 0.5000 0.9748 0.1962  2 N 2.18, 2 O 2.29-2.36
Cd 0.5000 0.4748 0.8038  2 N 2.18, 2 O 2.29-2.36
Ho 0.0000 0.4845 0.3123  2 O 2.18, 2 N 2.21-2.25
Ho 0.0000 0.9845 0.6877  2 O 2.18, 2 N 2.21-2.25
N 0.0000 0.8917 0.3410  2 Cd 2.18, 2 Ho 2.21-2.25
N 0.0000 0.3917 0.6590  2 Cd 2.18, 2 Ho 2.21-2.25
O 0.5000 0.4029 0.1692  2 Ho 2.18, 2 Cd 2.29-2.36
O 0.5000 0.9029 0.8308  2 Ho 2.18, 2 Cd 2.29-2.36

Computed properties:
Uncorrected energy, eV/atom: -6.13

VASP calculation (PBE) on a relaxed structure of NbAgSb.

a b c (Å): 4.5814 4.5814 4.5814
angles (deg): 60.00 60.00 60.00
Last column: nearest neighbours and their distance in Å.
Fractional positions:
Ag 0.0000 0.0000 0.0000  4 Sb 2.81
Nb 0.5000 0.5000 0.5000  4 Sb 2.81
Sb 0.7500 0.7500 0.7500  4 Nb 2.81, 4 Ag 2.81

Computed properties:
Uncorrected energy, eV/atom: -5.24

VASP calculation (PBE) on a relaxed structure of NiAsPd.

a b c (Å): 4.3224 4.3224 5.3587
angles (deg): 90.00 90.00 120.00
Last column: nearest neighbours and their distance in Å.
Fractional positions:
As 0.3333 0.6667 0.2500  5 Pd 2.50-2.68
As 0.6667 0.3333 0.7500  5 Pd 2.50-2.68
Ni 0.0000 0.0000 0.0000  2 Ni 2.68, 6 Pd 2.83, 6 As 2.83
Ni 0.0000 0.0000 0.5000  2 Ni 2.68, 6 As 2.83, 6 Pd 2.83
Pd 0.6667 0.3333 0.2500  5 As 2.50-2.68
Pd 0.3333 0.6667 0.7500  5 As 2.50-2.68

Computed properties:
Uncorrected energy, eV/atom: -5.21

VASP calculation (PBE) on a relaxed structure of ErTaAg.

a b c (Å): 4.7509 4.7509 4.7509
angles (deg): 60.00 60.00 60.00
Last column: nearest neighbours and their distance in Å.
Fractional positions:
Ag 0.2500 0.2500 0.2500  4 Er 2.91
Er 0.0000 0.0000 0.0000  4 Ta 2.91, 4 Ag 2.91
Ta 0.7500 0.7500 0.7500  4 Er 2.91

Computed properties:
Formation energy, eV per atom: 1.353

What is the formula in the sixth record? NbAgSb